Compound: TbPm3Er7
Source: the Alexandria database
Functional: PBE-GGA
Structure: relaxed

Cell: 8.835 10.035 5.491 Å, 90.00 128.41 106.20°
Sites, in units of the cell vectors:
Tb  0.500  0.500  0.500
Pm  0.215  0.997  0.716
Pm  0.000  0.500  0.000
Pm  0.785  0.003  0.284
Er  0.908  0.830  0.908
Er  0.817  0.638  0.318
Er  0.642  0.289  0.142
Er  0.358  0.711  0.858
Er  0.500  0.000  0.500
Er  0.183  0.362  0.682
Er  0.092  0.170  0.092

Properties
- energy of formation from the pure elements (eV per atom) = 0.153
- V (Å³ per cell) = 356.47
- M_tot (μB/atom) = 0.000
- space-group type = P2/m, No. 10